No. 1
SiB2C | the Alexandria database | GGA-PBE | relaxed; space-group type = No. 156; ΔE to the lowest computed polymorph = 64.3 kJ/mol of formula units; energy relative to the elements, uncorrected = 0.428 eV/atom; mass density = 2.93 g/cm³
1.0
2.696 0.000 0.000
-1.348 2.334 0.000
0.000 0.000 5.556
Si B C
1 2 1
Cartesian
0.000 0.000 4.358
0.000 1.556 1.879
0.000 0.000 0.824
0.000 0.000 2.366

---

No. 2
Tb3SmHo2P6 | the Alexandria database | GGA-PBE | relaxed; space-group type = No. 12; formation enthalpy at 0 K = -19.24 eV/f.u.; mass density = 6.84 g/cm³
1.0
-3.679 -5.279 -2.696
6.077 1.848 -2.886
2.357 -3.072 5.804
Tb Sm Ho P
3 1 2 6
Cartesian
5.637 -0.870 0.047
-0.882 -5.632 0.174
2.377 -3.251 0.111
0.000 0.000 0.000
2.827 -0.526 -2.823
-0.430 -2.905 -2.760
1.916 -6.072 0.209
2.377 -3.326 -2.716
2.839 -0.431 0.013
5.206 -3.668 0.145
2.378 -3.177 2.937
-0.451 -2.834 0.077

---

No. 3
InSn2Pd2 | the Alexandria database | GGA-PBE | relaxed; space-group type = No. 127; formation enthalpy at 0 K = -1.19 eV/f.u.; mass density = 8.87 g/cm³
1.0
-3.679 2.323 7.147
1.891 -7.415 3.383
2.627 1.121 0.988
Sn Pd In
4 4 2
Cartesian
0.296 -5.557 5.517
-1.971 -2.717 8.324
-2.084 0.465 5.014
0.184 -2.376 2.206
1.976 -3.953 3.851
0.484 -4.153 8.046
-1.137 -0.019 7.667
0.355 0.181 3.472
0.000 0.000 0.000
-0.894 -2.546 5.265

---

Question: Among the records above, which one has the lowest mass density?
Answer: SiB2C

---

Question: Which value of mass density does entry 1 give?
Answer: 2.93 g/cm³

---

Question: Which of these has the lowest mass density?
Answer: SiB2C